The following is a DFT calculation (GGA-PBE) of a geometry-optimized Dy6ErTm4 structure.

- E_tot (hartree per atom) = -0.1614
- space group = P-6m2, No. 187
- polymorph energy (0 for the lowest one) (meV/atom) = 30

Unit cell a=3.4932 b=10.7955 c=10.7955 alpha=120.00 beta=90.00 gamma=90.00
Closest atoms and distances in Å follow each position.
Atoms (fractional coordinates):
Dy 0.0000 0.5181 0.4819  5 Tm 3.45-3.49, 6 Dy 3.49-3.64
Dy 0.5000 0.6364 0.8182  4 Tm 3.22-3.33, 2 Dy 3.49
Dy 0.5000 0.1818 0.8182  4 Tm 3.22-3.33, 2 Dy 3.49
Dy 0.0000 0.5181 0.0361  5 Tm 3.45-3.49, 6 Dy 3.49-3.64
Dy 0.5000 0.1818 0.3636  4 Tm 3.22-3.33, 2 Dy 3.49
Dy 0.0000 0.9639 0.4819  5 Tm 3.45-3.49, 6 Dy 3.49-3.64
Tm 0.5000 0.8390 0.6780  6 Dy 3.22-3.49, 2 Er 3.48, 2 Tm 3.49
Tm 0.5000 0.8390 0.1610  6 Dy 3.22-3.49, 2 Er 3.48, 2 Tm 3.49
Tm 0.5000 0.3220 0.1610  6 Dy 3.22-3.49, 2 Er 3.48, 2 Tm 3.49
Tm 0.0000 0.3333 0.6667  9 Dy 3.33-3.45, 2 Tm 3.49
Er 0.0000 0.0000 0.0000  6 Tm 3.48, 2 Er 3.49, 6 Dy 3.82